RbN2Cl2: optimized geometry, PBE-GGA.

Geometry as POSCAR:
```
RbN2Cl2
1.0
-3.536 1.872 2.034
-3.192 -4.964 -5.935
1.806 -4.677 7.441
Rb N Cl
2 4 4
direct
0.138 0.000 0.750
0.862 0.000 0.250
0.718 0.140 0.987
0.282 0.860 0.013
0.578 0.860 0.514
0.422 0.140 0.486
0.661 0.322 0.619
0.339 0.678 0.880
0.661 0.322 0.120
0.339 0.678 0.381
```

Values from the calculation:
**E_form (uncorrected)**: 0.713 eV per atom
**DFT total energy**: -3.55 eV per atom
**Distance to the lowest polymorph of the same formula**: 1263 meV per atom
**Density**: 2.03 g/cm3
**Symmetry**: C2/c (15)



Rb2ReNCl6: optimized geometry, PBE-GGA.

Geometry as POSCAR:
```
Rb2ReNCl6
1.0
-4.835 5.975 -1.467
-2.297 -0.021 7.480
-0.249 5.913 4.033
Cl Re N Rb
6 1 1 2
direct
0.784 0.216 0.000
0.216 0.784 0.000
0.216 0.216 0.000
0.784 0.784 0.000
0.733 0.733 0.535
0.267 0.267 0.465
0.000 0.000 0.000
0.500 0.500 0.000
0.750 0.250 0.500
0.250 0.750 0.500
```

Values from the calculation:
**E_form (uncorrected)**: -0.472 eV per atom
**DFT total energy**: -3.85 eV per atom
**Density**: 3.48 g/cm3
**Symmetry**: I4/mmm (139)



Rb2RhNCl6: optimized geometry, PBE-GGA.

Geometry as POSCAR:
```
Rb2RhNCl6
1.0
-7.710 0.577 -0.434
-0.338 -6.999 -3.296
-4.398 -5.127 2.242
Rh Cl N Rb
1 6 1 2
direct
0.000 0.000 0.000
0.215 0.785 0.000
0.215 0.215 0.000
0.727 0.727 0.547
0.785 0.215 0.000
0.273 0.273 0.453
0.785 0.785 0.000
0.500 0.500 0.000
0.750 0.250 0.500
0.250 0.750 0.500
```

Values from the calculation:
**E_form (uncorrected)**: -0.574 eV per atom
**DFT total energy**: -3.44 eV per atom
**Density**: 3.05 g/cm3
**Symmetry**: I4/mmm (139)



Rb2SNCl6: optimized geometry, PBE-GGA.

Geometry as POSCAR:
```
Rb2SNCl6
1.0
-5.657 -3.976 3.434
5.005 -2.545 5.299
-1.266 0.337 6.983
S Cl Rb N
1 6 2 1
direct
0.000 0.000 0.000
0.786 0.214 0.000
0.786 0.786 0.000
0.283 0.283 0.435
0.214 0.214 0.000
0.717 0.717 0.565
0.214 0.786 0.000
0.750 0.250 0.500
0.250 0.750 0.500
0.500 0.500 0.000
```

Values from the calculation:
**E_form (uncorrected)**: -0.401 eV per atom
**DFT total energy**: -2.95 eV per atom
**Density**: 2.63 g/cm3
**Symmetry**: I4/mmm (139)